Entry 1:
Crystalline Tm5Ga2Pd at its relaxed geometry. Source: Alexandria via LeMat-Bulk, functional GGA-PBE.

The structure in CIF format:
```
data_Tm5Ga2Pd
_chemical_formula_sum 'Tm20 Ga8 Pd4'
_cell_length_a 7.329
_cell_length_b 7.329
_cell_length_c 14.450
_cell_angle_alpha 90.00
_cell_angle_beta 90.00
_cell_angle_gamma 90.00
_space_group_name_H-M_alt 'I 4/m c m'
_space_group_IT_number 140
_space_group_name_Hall '-I 4 2c'
loop_
_atom_site_label
_atom_site_type_symbol
_atom_site_fract_x
_atom_site_fract_y
_atom_site_fract_z
_atom_site_occupancy
Tm1 Tm 0.000 0.000 0.000 1
Tm2 Tm 0.170 0.330 0.149 1
Ga1 Ga 0.123 0.377 0.500 1
Pd1 Pd 0.000 0.000 0.250 1
```

Summary:
* raw total energy: -38.0 eV per formula unit
* ΔE_f: -0.554 eV per atom
* theoretical density: 9.33 g/cm3

Entry 2:
Crystalline Tm11Ga9Pd4 at its relaxed geometry. Source: Alexandria via LeMat-Bulk, functional GGA-PBE.

The structure in CIF format:
```
data_Tm11Ga9Pd4
_chemical_formula_sum 'Tm22 Ga18 Pd8'
_cell_length_a 13.841
_cell_length_b 20.956
_cell_length_c 3.532
_cell_angle_alpha 90.00
_cell_angle_beta 90.00
_cell_angle_gamma 90.00
_space_group_name_H-M_alt 'C m m m'
_space_group_IT_number 65
_space_group_name_Hall '-C 2 2'
loop_
_atom_site_label
_atom_site_type_symbol
_atom_site_fract_x
_atom_site_fract_y
_atom_site_fract_z
_atom_site_occupancy
Tm1 Tm 0.000 0.000 0.000 1
Tm2 Tm 0.000 0.163 0.000 1
Tm3 Tm 0.000 0.368 0.000 1
Tm4 Tm 0.204 0.500 0.000 1
Tm5 Tm 0.236 0.173 0.000 1
Ga1 Ga 0.000 0.500 0.500 1
Ga2 Ga 0.104 0.264 0.500 1
Ga3 Ga 0.141 0.073 0.500 1
Pd1 Pd 0.155 0.399 0.500 1
```

Summary:
* raw total energy: -114.4 eV per formula unit
* ΔE_f: -0.717 eV per atom
* theoretical density: 9.44 g/cm3

Entry 3:
Crystalline Tm6Ga17Pd5 at its relaxed geometry. Source: Alexandria via LeMat-Bulk, functional GGA-PBE.

The structure in CIF format:
```
data_Tm6Ga17Pd5
_chemical_formula_sum 'Tm12 Ga34 Pd10'
_cell_length_a 15.672
_cell_length_b 4.267
_cell_length_c 15.586
_cell_angle_alpha 90.00
_cell_angle_beta 104.27
_cell_angle_gamma 90.00
_space_group_name_H-M_alt 'C 1 2/m 1'
_space_group_IT_number 12
loop_
_space_group_symop_operation_xyz
'x,y,z'
'-x,-y,-z'
'-x,y,-z'
'x,-y,z'
'x+1/2,y+1/2,z'
'-x+1/2,-y+1/2,-z'
'-x+1/2,y+1/2,-z'
'x+1/2,-y+1/2,z'
loop_
_atom_site_label
_atom_site_type_symbol
_atom_site_fract_x
_atom_site_fract_y
_atom_site_fract_z
_atom_site_occupancy
Tm1 Tm 0.091 0.000 0.406 1
Tm2 Tm 0.103 0.500 0.901 1
Tm3 Tm 0.246 0.000 0.251 1
Ga1 Ga 0.000 0.000 0.000 1
Ga2 Ga 0.038 0.000 0.179 1
Ga3 Ga 0.047 0.500 0.675 1
Ga4 Ga 0.101 0.500 0.263 1
Ga5 Ga 0.109 0.000 0.766 1
Ga6 Ga 0.175 0.500 0.543 1
Ga7 Ga 0.178 0.000 0.039 1
Ga8 Ga 0.231 0.500 0.396 1
Ga9 Ga 0.242 0.000 0.894 1
Pd1 Pd 0.000 0.500 0.500 1
Pd2 Pd 0.088 0.500 0.091 1
Pd3 Pd 0.106 0.000 0.603 1
```

Summary:
* raw total energy: -122.7 eV per formula unit
* ΔE_f: -0.658 eV per atom
* theoretical density: 8.98 g/cm3

Entry 4:
Crystalline Tm2Ga5Pd3 at its relaxed geometry. Source: Alexandria via LeMat-Bulk, functional GGA-PBE.

The structure in CIF format:
```
data_Tm2Ga5Pd3
_chemical_formula_sum 'Tm8 Ga20 Pd12'
_cell_length_a 4.357
_cell_length_b 24.731
_cell_length_c 6.690
_cell_angle_alpha 90.00
_cell_angle_beta 90.00
_cell_angle_gamma 90.00
_space_group_name_H-M_alt 'C m c 21'
_space_group_IT_number 36
loop_
_space_group_symop_operation_xyz
'x,y,z'
'-x,-y,z+1/2'
'-x,y,z'
'x,-y,z+1/2'
'x+1/2,y+1/2,z'
'-x+1/2,-y+1/2,z+1/2'
'-x+1/2,y+1/2,z'
'x+1/2,-y+1/2,z+1/2'
loop_
_atom_site_label
_atom_site_type_symbol
_atom_site_fract_x
_atom_site_fract_y
_atom_site_fract_z
_atom_site_occupancy
Tm1 Tm 0.000 0.016 0.000 1
Tm2 Tm 0.000 0.326 0.024 1
Ga1 Ga 0.000 0.104 0.333 1
Ga2 Ga 0.000 0.206 0.826 1
Ga3 Ga 0.000 0.208 0.234 1
Ga4 Ga 0.000 0.378 0.491 1
Ga5 Ga 0.000 0.450 0.184 1
Pd1 Pd 0.000 0.106 0.729 1
Pd2 Pd 0.000 0.275 0.533 1
Pd3 Pd 0.000 0.448 0.786 1
```

Summary:
* raw total energy: -47.1 eV per formula unit
* ΔE_f: -0.742 eV per atom
* theoretical density: 9.27 g/cm3
* energy above the lowest structure with this stoichiometry: 0.00 eV per formula unit

Which of these has the lowest raw total energy?
Tm6Ga17Pd5

What is the formula in the second record?
Tm11Ga9Pd4